# K2RbYV2O8

A relaxed structure of K2RbYV2O8 (GGA+U, the Alexandria database).

- V: 17.6 Å³/atom
- SG: P-3m1, No. 164
- Spin magnetization: 0.0 μB/f.u.
- Uncorrected energy: -6.92 eV/atom

Cell: 6.0329 6.0329 7.7979 Å, 90.00 90.00 120.00°
Sites, in units of the cell vectors:
O: 0.3333 0.6667 0.0329
O: 0.1748 0.8252 0.3276
O: 0.3497 0.1748 0.6724
O: 0.8252 0.6503 0.6724
O: 0.1748 0.3497 0.3276
O: 0.8252 0.1748 0.6724
O: 0.6503 0.8252 0.3276
O: 0.6667 0.3333 0.9671
V: 0.6667 0.3333 0.7511
V: 0.3333 0.6667 0.2489
K: 0.6667 0.3333 0.3034
K: 0.3333 0.6667 0.6966
Rb: 0.0000 0.0000 0.0000
Y: 0.0000 0.0000 0.5000